Entry w
VASP calculation (PBE-GGA) on a relaxed AlAg2Hg crystal.

The calculation puts the size of the total moment at 0.00 μB/f.u.

The space group is Cmmm (No. 65) and the conventional cell measures 2.989, 5.419 and 9.523 Å, with angles of 90.00, 90.00 and 90.00 degrees. The asymmetric unit holds Al at (0.000, 0.000, 0.000), Ag at (0.000, 0.500, 0.231) and Hg at (0.000, 0.000, 0.500).

Entry x
VASP calculation (PBE-GGA) on a relaxed AlAg2Hg crystal.

The calculation puts the size of the total moment at 0.00 μB/f.u.

The space group is Pmmm (No. 47) and the conventional cell measures 3.036, 3.921 and 6.236 Å, with angles of 90.00, 90.00 and 90.00 degrees. The asymmetric unit holds Al at (0.000, 0.000, 0.000), Ag at (0.500, 0.500, 0.228) and Hg at (0.000, 0.000, 0.500).

Entry y
VASP calculation (PBE-GGA) on a relaxed AlAg2Hg crystal.

The calculation puts the size of the total moment at 0.00 μB/f.u.

The space group is I4/mmm (No. 139) and the conventional cell measures 4.208, 4.208 and 8.374 Å, with angles of 90.00, 90.00 and 90.00 degrees. The asymmetric unit holds Al at (0.000, 0.000, 0.000), Ag at (0.000, 0.500, 0.250) and Hg at (0.000, 0.000, 0.500).

Entry z
VASP calculation (PBE-GGA) on a relaxed AlAg2Hg crystal.

The calculation puts the size of the total moment at 0.00 μB/f.u.

The space group is Cm (No. 8) and the conventional cell measures 5.140, 3.192 and 9.328 Å, with angles of 90.00, 99.90 and 90.00 degrees. The asymmetric unit holds Al at (0.000, 0.000, 0.000), Ag at (0.092, 0.500, 0.772), Ag at (0.408, 0.000, 0.228) and Hg at (0.331, 0.500, 0.500).

Which of them is the most stable? Correct choice: entry z.

Entry w
VASP calculation (PBE-GGA) on a relaxed Al2AgHg2 crystal.

The calculation puts the size of the total moment at 0.00 μB/f.u.

The space group is P4/mbm (No. 127) and the conventional cell measures 6.965, 6.965 and 4.250 Å, with angles of 90.00, 90.00 and 90.00 degrees. The asymmetric unit holds Al at (0.138, 0.362, 0.000), Ag at (0.000, 0.000, 0.000) and Hg at (0.173, 0.673, 0.500).

Entry x
VASP calculation (PBE-GGA) on a relaxed Al2AgHg2 crystal.

The calculation puts the size of the total moment at 0.00 μB/f.u.

The space group is I4/mmm (No. 139) and the conventional cell measures 4.237, 4.237 and 12.363 Å, with angles of 90.00, 90.00 and 90.00 degrees. The asymmetric unit holds Al at (0.000, 0.000, 0.101), Ag at (0.000, 0.000, 0.500) and Hg at (0.000, 0.500, 0.250).

Entry y
VASP calculation (PBE-GGA) on a relaxed Al2AgHg2 crystal.

The calculation puts the size of the total moment at 0.00 μB/f.u.

The space group is I4/mmm (No. 139) and the conventional cell measures 3.970, 3.970 and 13.520 Å, with angles of 90.00, 90.00 and 90.00 degrees. The asymmetric unit holds Al at (0.000, 0.500, 0.250), Ag at (0.000, 0.000, 0.000) and Hg at (0.000, 0.000, 0.397).

Which of them is the most stable? Correct choice: entry w.

Entry w
VASP calculation (PBE-GGA) on a relaxed AlAg4Hg crystal.

The calculation puts the size of the total moment at 0.00 μB/f.u.

The space group is P4/mmm (No. 123) and the conventional cell measures 3.143, 3.143 and 11.044 Å, with angles of 90.00, 90.00 and 90.00 degrees. The asymmetric unit holds Al at (0.000, 0.000, 0.000), Ag at (0.000, 0.000, 0.316), Ag at (0.500, 0.500, 0.145) and Hg at (0.500, 0.500, 0.500).

Entry x
VASP calculation (PBE-GGA) on a relaxed AlAg4Hg crystal.

The calculation puts the size of the total moment at 0.00 μB/f.u.

The space group is F-43m (No. 216) and the conventional cell measures 7.816, 7.816 and 7.816 Å, with angles of 90.00, 90.00 and 90.00 degrees. The asymmetric unit holds Al at (0.000, 0.000, 0.000), Ag at (0.125, 0.125, 0.375) and Hg at (0.250, 0.250, 0.750).

Which of them is the most stable? Correct choice: entry w.

Entry w
VASP calculation (PBE-GGA) on a relaxed HoAlAg3 crystal.

The calculation puts the size of the total moment at 0.00 μB/f.u.

The space group is Pnma (No. 62) and the conventional cell measures 8.938, 4.286 and 10.630 Å, with angles of 90.00, 90.00 and 90.00 degrees. The asymmetric unit holds Ho at (0.185, 0.250, 0.003), Al at (0.119, 0.250, 0.644), Ag at (0.063, 0.250, 0.404), Ag at (0.100, 0.750, 0.198) and Ag at (0.140, 0.750, 0.801).

Entry x
VASP calculation (PBE-GGA) on a relaxed HoAlAg3 crystal.

The calculation puts the size of the total moment at 0.00 μB/f.u.

The space group is P2_1/m (No. 11) and the conventional cell measures 6.162, 4.631 and 7.308 Å, with angles of 90.00, 107.81 and 90.00 degrees. The asymmetric unit holds Ho at (0.190, 0.250, 0.198), Al at (0.197, 0.750, 0.570), Ag at (0.130, 0.250, 0.762), Ag at (0.354, 0.750, 0.966) and Ag at (0.499, 0.750, 0.380).

Which of them is the most stable? Correct choice: entry x.

Entry w
VASP calculation (PBE-GGA) on a relaxed Ho6AlAg crystal.

The calculation puts the size of the total moment at 0.00 μB/f.u.

The space group is R-3 (No. 148, hexagonal axes) and the conventional cell measures 8.6984, 8.6984 and 9.9126 Å, with angles of 90.00, 90.00 and 120.00 degrees. The asymmetric unit holds Ho at (0.0220, 0.7710, 0.2273), Al at (0.0000, 0.0000, 0.5000) and Ag at (0.0000, 0.0000, 0.0000).

Entry x
VASP calculation (PBE-GGA) on a relaxed Ho6AlAg crystal.

The calculation puts the size of the total moment at 0.00 μB/f.u.

The space group is I4/mmm (No. 139) and the conventional cell measures 5.005, 5.005 and 17.598 Å, with angles of 90.00, 90.00 and 90.00 degrees. The asymmetric unit holds Ho at (0.000, 0.000, 0.248), Ho at (0.000, 0.500, 0.108), Al at (0.000, 0.000, 0.000) and Ag at (0.000, 0.000, 0.500).

Which of them is the most stable? Correct choice: entry x.

Entry w
VASP calculation (PBE-GGA) on a relaxed HoAl2Ag2 crystal.

The calculation puts the size of the total moment at 0.00 μB/f.u.

The space group is P-3m1 (No. 164) and the conventional cell measures 4.6789, 4.6789 and 5.6810 Å, with angles of 90.00, 90.00 and 120.00 degrees. The asymmetric unit holds Ho at (0.0000, 0.0000, 0.0000), Al at (0.3333, 0.6667, 0.6795) and Ag at (0.3333, 0.6667, 0.2278).

Entry x
VASP calculation (PBE-GGA) on a relaxed HoAl2Ag2 crystal.

The calculation puts the size of the total moment at 0.00 μB/f.u.

The space group is I4/mmm (No. 139) and the conventional cell measures 4.285, 4.285 and 10.959 Å, with angles of 90.00, 90.00 and 90.00 degrees. The asymmetric unit holds Ho at (0.000, 0.000, 0.000), Al at (0.000, 0.000, 0.386) and Ag at (0.000, 0.500, 0.250).

Which of them is the most stable? Correct choice: entry x.

Entry w
VASP calculation (PBE-GGA) on a relaxed Ho3AlAg crystal.

The calculation puts the size of the total moment at 0.00 μB/f.u.

The space group is Cmcm (No. 63) and the conventional cell measures 5.032, 20.157 and 5.034 Å, with angles of 90.00, 90.00 and 90.00 degrees. The asymmetric unit holds Ho at (0.000, 0.063, 0.250), Ho at (0.000, 0.249, 0.250), Ho at (0.000, 0.434, 0.250), Al at (0.000, 0.157, 0.750) and Ag at (0.000, 0.339, 0.750).

Entry x
VASP calculation (PBE-GGA) on a relaxed Ho3AlAg crystal.

The calculation puts the size of the total moment at 0.00 μB/f.u.

The space group is C2/c (No. 15) and the conventional cell measures 11.757, 6.216 and 14.180 Å, with angles of 90.00, 95.12 and 90.00 degrees. The asymmetric unit holds Ho at (0.064, 0.111, 0.107), Ho at (0.166, 0.198, 0.794), Ho at (0.190, 0.319, 0.402), Al at (0.049, 0.383, 0.581), Ag at (0.000, 0.429, 0.250) and Ag at (0.250, 0.250, 0.000).

Which of them is the most stable? Correct choice: entry w.

Entry w
VASP calculation (PBE-GGA) on a relaxed Ho2Al3Ag5 crystal.

The calculation puts the size of the total moment at 0.00 μB/f.u.

The space group is Ibam (No. 72) and the conventional cell measures 11.606, 11.909 and 5.884 Å, with angles of 90.00, 90.00 and 90.00 degrees. The asymmetric unit holds Ho at (0.132, 0.237, 0.000), Al at (0.000, 0.500, 0.250), Al at (0.129, 0.132, 0.500), Ag at (0.000, 0.000, 0.250), Ag at (0.106, 0.345, 0.500) and Ag at (0.242, 0.500, 0.250).

Entry x
VASP calculation (PBE-GGA) on a relaxed Ho2Al3Ag5 crystal.

The calculation puts the size of the total moment at 0.00 μB/f.u.

The space group is Cmc2_1 (No. 36) and the conventional cell measures 4.551, 25.136 and 6.945 Å, with angles of 90.00, 90.00 and 90.00 degrees. The asymmetric unit holds Ho at (0.000, 0.014, 0.000), Ho at (0.000, 0.325, 0.977), Al at (0.000, 0.104, 0.303), Al at (0.000, 0.272, 0.437), Al at (0.000, 0.446, 0.201), Ag at (0.000, 0.106, 0.701), Ag at (0.000, 0.200, 0.149), Ag at (0.000, 0.217, 0.746), Ag at (0.000, 0.376, 0.498) and Ag at (0.000, 0.451, 0.803).

Which of them is the most stable? Correct choice: entry x.

Entry w
VASP calculation (PBE-GGA) on a relaxed Ho2Al2Ag crystal.

The calculation puts the size of the total moment at 0.00 μB/f.u.

The space group is P4/mbm (No. 127) and the conventional cell measures 6.979, 6.979 and 4.634 Å, with angles of 90.00, 90.00 and 90.00 degrees. The asymmetric unit holds Ho at (0.168, 0.332, 0.000), Al at (0.135, 0.635, 0.500) and Ag at (0.000, 0.000, 0.500).

Entry x
VASP calculation (PBE-GGA) on a relaxed Ho2Al2Ag crystal.

The calculation puts the size of the total moment at 0.00 μB/f.u.

The space group is C2/m (No. 12) and the conventional cell measures 10.791, 4.518 and 10.558 Å, with angles of 90.00, 117.23 and 90.00 degrees. The asymmetric unit holds Ho at (0.008, 0.000, 0.328), Ho at (0.181, 0.000, 0.102), Al at (0.022, 0.500, 0.885), Al at (0.138, 0.500, 0.564) and Ag at (0.225, 0.500, 0.349).

Which of them is the most stable? Correct choice: entry x.